No. 1
This record from Alexandria describes CrSe after structural relaxation. The functional is GGA-PBE.

extended XYZ file:
```
16
Lattice="7.360 0.000 0.000 0.000 7.360 0.000 0.000 0.000 7.360" Properties=species:S:1:pos:R:3 pbc="T T T"
Cr 0.872 0.872 0.872
Cr 0.872 6.488 6.488
Cr 2.808 2.808 4.552
Cr 2.808 4.552 2.808
Cr 4.552 2.808 2.808
Cr 4.552 4.552 4.552
Cr 6.488 0.872 6.488
Cr 6.488 6.488 0.872
Se 1.404 1.404 5.956
Se 1.404 5.956 1.404
Se 2.276 2.276 2.276
Se 2.276 5.084 5.084
Se 5.084 2.276 5.084
Se 5.084 5.084 2.276
Se 5.956 1.404 1.404
Se 5.956 5.956 5.956
```

Output
ΔE_f (raw)	-0.11	eV/atom
E	-6.66	eV/atom
Fermi-level density of states	11.2	states/eV per cell


No. 2
This record from Alexandria describes Cr2Se after structural relaxation. The functional is GGA-PBE.

extended XYZ file:
```
6
Lattice="3.829 0.000 0.000 -1.914 3.316 0.000 0.000 0.000 6.624" Properties=species:S:1:pos:R:3 pbc="T T T"
Cr 0.000 2.211 0.328
Cr 0.000 2.211 2.985
Cr 1.914 1.105 3.640
Cr 1.914 1.105 6.297
Se 0.000 0.000 1.656
Se 0.000 0.000 4.968
```

Output
ΔE_f (raw)	0.50	eV/atom
E	-7.08	eV/atom
Fermi-level density of states	7.0	states/eV per cell


No. 3
This record from Alexandria describes CrSe2 after structural relaxation. The functional is GGA-PBE.

extended XYZ file:
```
3
Lattice="4.818 0.000 0.000 -2.409 4.173 0.000 0.000 0.000 2.989" Properties=species:S:1:pos:R:3 pbc="T T T"
Cr 0.000 0.000 0.000
Se 0.000 2.782 1.494
Se 2.409 1.391 1.494
```

Output
ΔE_f (raw)	0.55	eV/atom
E	-4.98	eV/atom
Fermi-level density of states	1.9	states/eV per cell


No. 4
This record from Alexandria describes CrSe2 after structural relaxation. The functional is GGA-PBE.

extended XYZ file:
```
6
Lattice="5.586 0.000 0.000 0.000 3.226 0.000 -1.820 0.000 6.925" Properties=species:S:1:pos:R:3 pbc="T T T"
Cr 0.000 0.000 0.000
Cr 2.793 1.613 0.000
Se 0.931 1.613 1.580
Se 0.042 0.000 5.345
Se 3.724 0.000 1.580
Se 2.835 1.613 5.345
```

Output
ΔE_f (raw)	-0.35	eV/atom
E	-5.88	eV/atom
Fermi-level density of states	1.8	states/eV per cell


No. 5
This record from Alexandria describes Cr2Se after structural relaxation. The functional is GGA-PBE.

extended XYZ file:
```
12
Lattice="5.307 0.000 0.000 0.000 5.307 0.000 0.000 0.000 5.783" Properties=species:S:1:pos:R:3 pbc="T T T"
Cr 0.862 1.791 0.000
Cr 0.862 3.516 2.892
Cr 1.791 0.862 2.892
Cr 1.791 4.445 0.000
Cr 3.516 0.862 0.000
Cr 3.516 4.445 2.892
Cr 4.445 1.791 2.892
Cr 4.445 3.516 0.000
Se 0.000 0.000 1.446
Se 0.000 0.000 4.338
Se 2.653 2.653 1.446
Se 2.653 2.653 4.338
```

Output
ΔE_f (raw)	0.41	eV/atom
E	-7.17	eV/atom
Fermi-level density of states	13.9	states/eV per cell


No. 6
This record from Alexandria describes CrSe2 after structural relaxation. The functional is GGA-PBE.

extended XYZ file:
```
12
Lattice="5.971 0.000 0.000 0.000 5.971 0.000 0.000 0.000 6.302" Properties=species:S:1:pos:R:3 pbc="T T T"
Cr 0.000 0.000 1.575
Cr 0.000 0.000 4.726
Cr 2.986 2.986 1.575
Cr 2.986 2.986 4.726
Se 0.963 2.023 0.000
Se 0.963 3.948 3.151
Se 2.023 0.963 3.151
Se 2.023 5.008 0.000
Se 3.948 0.963 0.000
Se 3.948 5.008 3.151
Se 5.008 2.023 3.151
Se 5.008 3.948 0.000
```

Output
ΔE_f (raw)	-0.05	eV/atom
E	-5.58	eV/atom
Fermi-level density of states	10.1	states/eV per cell


No. 7
This record from Alexandria describes Cr2Se after structural relaxation. The functional is GGA-PBE.

extended XYZ file:
```
12
Lattice="5.697 0.000 0.000 0.000 5.697 0.000 0.000 0.000 5.697" Properties=species:S:1:pos:R:3 pbc="T T T"
Cr 1.424 1.424 1.424
Cr 1.424 1.424 4.273
Cr 1.424 4.273 1.424
Cr 1.424 4.273 4.273
Cr 4.273 1.424 1.424
Cr 4.273 1.424 4.273
Cr 4.273 4.273 1.424
Cr 4.273 4.273 4.273
Se 0.000 0.000 0.000
Se 0.000 2.849 2.849
Se 2.849 0.000 2.849
Se 2.849 2.849 0.000
```

Output
ΔE_f (raw)	0.35	eV/atom
E	-7.22	eV/atom
Fermi-level density of states	11.3	states/eV per cell


No. 8
This record from Alexandria describes CrSe after structural relaxation. The functional is GGA-PBE.

extended XYZ file:
```
4
Lattice="4.048 0.000 0.000 -2.024 3.506 0.000 0.000 0.000 6.905" Properties=species:S:1:pos:R:3 pbc="T T T"
Cr 0.000 2.337 0.000
Cr 2.024 1.169 3.452
Se 0.000 2.337 2.525
Se 2.024 1.169 5.977
```

Output
ΔE_f (raw)	-0.18	eV/atom
E	-6.74	eV/atom
Fermi-level density of states	3.3	states/eV per cell


No. 9
This record from Alexandria describes CrSe after structural relaxation. The functional is GGA-PBE.

extended XYZ file:
```
12
Lattice="3.806 0.000 0.000 -1.903 3.296 0.000 0.000 0.000 19.017" Properties=species:S:1:pos:R:3 pbc="T T T"
Cr 0.000 0.000 3.076
Cr 0.000 0.000 15.940
Cr 0.000 2.198 9.601
Cr 0.000 2.198 15.754
Cr 1.903 1.099 3.263
Cr 1.903 1.099 9.415
Se 0.000 0.000 7.959
Se 0.000 0.000 11.057
Se 0.000 2.198 1.620
Se 0.000 2.198 4.719
Se 1.903 1.099 14.298
Se 1.903 1.099 17.396
```

Output
ΔE_f (raw)	0.06	eV/atom
E	-6.50	eV/atom
Fermi-level density of states	10.0	states/eV per cell


No. 10
This record from Alexandria describes CrSe after structural relaxation. The functional is GGA-PBE.

extended XYZ file:
```
4
Lattice="3.392 0.000 0.000 0.000 3.660 0.000 0.000 0.000 6.627" Properties=species:S:1:pos:R:3 pbc="T T T"
Cr 0.848 0.915 0.040
Cr 2.544 2.745 6.586
Se 0.848 2.745 1.672
Se 2.544 0.915 4.955
```

Output
ΔE_f (raw)	-0.32	eV/atom
E	-6.87	eV/atom
Fermi-level density of states	2.8	states/eV per cell


No. 11
This record from Alexandria describes Cr2Se after structural relaxation. The functional is GGA-PBE.

extended XYZ file:
```
12
Lattice="3.077 0.000 0.000 0.000 18.024 0.000 0.000 0.000 3.815" Properties=species:S:1:pos:R:3 pbc="T T T"
Cr 0.000 0.920 0.954
Cr 0.000 7.914 0.954
Cr 0.000 10.111 2.862
Cr 0.000 17.104 2.862
Cr 1.538 1.098 2.862
Cr 1.538 8.092 2.862
Cr 1.538 9.932 0.954
Cr 1.538 16.926 0.954
Se 0.000 6.218 2.862
Se 0.000 11.806 0.954
Se 1.538 2.794 0.954
Se 1.538 15.230 2.862
```

Output
ΔE_f (raw)	-0.11	eV/atom
E	-7.69	eV/atom
Fermi-level density of states	7.2	states/eV per cell


No. 12
This record from Alexandria describes CrSe2 after structural relaxation. The functional is GGA-PBE.

extended XYZ file:
```
6
Lattice="0.000 4.043 4.043 4.043 0.000 4.043 4.043 4.043 0.000" Properties=species:S:1:pos:R:3 pbc="T T T"
Cr 1.011 1.011 1.011
Cr 7.075 7.075 7.075
Se 4.043 2.021 2.021
Se 2.021 4.043 2.021
Se 2.021 2.021 4.043
Se 4.043 4.043 4.043
```

Output
ΔE_f (raw)	0.82	eV/atom
E	-4.71	eV/atom
Fermi-level density of states	4.4	states/eV per cell


No. 13
This record from Alexandria describes Cr8Se after structural relaxation. The functional is GGA-PBE.

extended XYZ file:
```
9
Lattice="-3.659 3.659 2.031 3.659 -3.659 2.031 3.659 3.659 -2.031" Properties=species:S:1:pos:R:3 pbc="T T T"
Cr 2.471 0.000 0.000
Cr 4.848 0.000 0.000
Cr 2.435 2.435 0.000
Cr 1.224 -1.224 2.031
Cr 0.000 2.471 0.000
Cr 0.000 4.848 0.000
Cr -1.224 1.224 2.031
Cr 1.224 1.224 2.031
Se 0.000 0.000 0.000
```

Output
ΔE_f (raw)	0.29	eV/atom
E	-8.65	eV/atom
Fermi-level density of states	10.3	states/eV per cell


No. 14
This record from Alexandria describes Cr2Se3 after structural relaxation. The functional is GGA-PBE.

extended XYZ file:
```
5
Lattice="3.611 0.000 0.000 -1.806 3.128 0.000 0.000 0.000 9.799" Properties=species:S:1:pos:R:3 pbc="T T T"
Cr 0.000 2.085 3.236
Cr 1.806 1.043 6.563
Se 0.000 0.000 4.900
Se 0.000 2.085 7.899
Se 1.806 1.043 1.900
```

Output
ΔE_f (raw)	-0.47	eV/atom
E	-6.41	eV/atom
Fermi-level density of states	0.4	states/eV per cell


No. 15
This record from Alexandria describes CrSe2 after structural relaxation. The functional is GGA-PBE.

extended XYZ file:
```
9
Lattice="7.068 0.000 0.000 -3.534 6.121 0.000 0.000 0.000 3.689" Properties=species:S:1:pos:R:3 pbc="T T T"
Cr 0.000 0.000 0.000
Cr 0.000 4.081 1.844
Cr 3.534 2.040 1.844
Se -0.944 1.634 1.844
Se -2.145 3.715 0.000
Se 1.887 0.000 1.844
Se 1.390 2.407 0.000
Se 4.289 0.000 0.000
Se 2.591 4.487 1.844
```

Output
ΔE_f (raw)	-0.10	eV/atom
E	-5.63	eV/atom
Fermi-level density of states	5.9	states/eV per cell


No. 16
This record from Alexandria describes CrSe after structural relaxation. The functional is GGA-PBE.

extended XYZ file:
```
8
Lattice="3.582 0.000 0.000 0.000 3.582 0.000 0.000 0.000 15.105" Properties=species:S:1:pos:R:3 pbc="T T T"
Cr 0.000 0.896 5.664
Cr 0.000 2.687 9.441
Cr 1.791 0.896 1.888
Cr 1.791 2.687 13.217
Se 0.000 0.896 13.217
Se 0.000 2.687 1.888
Se 1.791 0.896 9.441
Se 1.791 2.687 5.664
```

Output
ΔE_f (raw)	0.02	eV/atom
E	-6.54	eV/atom
Fermi-level density of states	6.0	states/eV per cell


No. 17
This record from Alexandria describes CrSe after structural relaxation. The functional is GGA-PBE.

extended XYZ file:
```
8
Lattice="5.811 0.000 0.000 0.000 5.811 0.000 0.000 0.000 5.811" Properties=species:S:1:pos:R:3 pbc="T T T"
Cr 0.000 0.000 0.000
Cr 0.000 2.906 2.906
Cr 2.906 0.000 2.906
Cr 2.906 2.906 0.000
Se 1.453 1.453 4.358
Se 1.453 4.358 1.453
Se 4.358 1.453 1.453
Se 4.358 4.358 4.358
```

Output
ΔE_f (raw)	-0.19	eV/atom
E	-6.75	eV/atom
Fermi-level density of states	4.7	states/eV per cell


No. 18
This record from Alexandria describes Cr3Se after structural relaxation. The functional is GGA-PBE.

extended XYZ file:
```
8
Lattice="3.486 0.000 0.000 0.000 3.486 0.000 0.000 0.000 8.309" Properties=species:S:1:pos:R:3 pbc="T T T"
Cr 0.000 0.000 0.000
Cr 0.000 1.743 2.077
Cr 0.000 1.743 6.232
Cr 1.743 0.000 2.077
Cr 1.743 0.000 6.232
Cr 1.743 1.743 4.154
Se 0.000 0.000 4.154
Se 1.743 1.743 0.000
```

Output
ΔE_f (raw)	0.31	eV/atom
E	-7.78	eV/atom
Fermi-level density of states	6.6	states/eV per cell


No. 19
This record from Alexandria describes Cr2Se3 after structural relaxation. The functional is GGA-PBE.

extended XYZ file:
```
20
Lattice="6.353 0.000 0.000 -3.177 5.502 0.000 0.000 0.000 11.743" Properties=species:S:1:pos:R:3 pbc="T T T"
Cr 0.000 0.000 0.000
Cr 0.000 0.000 5.872
Cr 0.000 3.668 0.155
Cr 0.000 3.668 5.716
Cr 0.000 3.668 8.808
Cr 3.177 1.834 2.936
Cr 3.177 1.834 6.027
Cr 3.177 1.834 11.588
Se -0.993 1.873 7.275
Se -2.051 3.706 10.340
Se 0.993 1.873 10.340
Se -1.059 5.425 7.275
Se 2.118 0.077 1.404
Se 1.126 1.796 4.468
Se 2.051 3.706 7.275
Se 1.059 5.425 10.340
Se 4.235 0.077 4.468
Se 2.184 3.629 1.404
Se 5.228 1.796 1.404
Se 4.169 3.629 4.468
```

Output
ΔE_f (raw)	-0.53	eV/atom
E	-6.47	eV/atom
Fermi-level density of states	4.7	states/eV per cell


No. 20
This record from Alexandria describes Cr2Se after structural relaxation. The functional is GGA-PBE.

extended XYZ file:
```
12
Lattice="2.971 0.000 0.000 0.000 2.971 0.000 0.000 0.000 19.065" Properties=species:S:1:pos:R:3 pbc="T T T"
Cr 0.000 0.743 5.623
Cr 0.000 0.743 8.676
Cr 0.000 2.228 10.389
Cr 0.000 2.228 13.442
Cr 1.485 0.743 0.856
Cr 1.485 0.743 3.910
Cr 1.485 2.228 15.155
Cr 1.485 2.228 18.208
Se 0.000 0.743 16.682
Se 0.000 2.228 2.383
Se 1.485 0.743 11.915
Se 1.485 2.228 7.149
```

Output
ΔE_f (raw)	0.52	eV/atom
E	-7.06	eV/atom
Fermi-level density of states	15.1	states/eV per cell